(1)
The following is a DFT calculation (GGA-PBE) of a relaxed TaTeRu2 crystal.

Properties
Magnetic moment ... 0.0 μB per cell
Uncorrected formation energy ... -0.03 eV per atom

Cell and atoms, written as CIF:
```
data_TaTeRu2
_chemical_formula_sum 'Ta1 Te1 Ru2'
_cell_length_a 3.169
_cell_length_b 3.169
_cell_length_c 6.984
_cell_angle_alpha 90.00
_cell_angle_beta 90.00
_cell_angle_gamma 90.00
_space_group_name_H-M_alt 'P 1'
_space_group_IT_number 1
_space_group_name_Hall 'P 1'
loop_
_atom_site_label
_atom_site_type_symbol
_atom_site_fract_x
_atom_site_fract_y
_atom_site_fract_z
Ta1 Ta 0.000 0.000 0.000
Te1 Te 0.000 0.000 0.500
Ru1 Ru 0.500 0.500 0.217
Ru2 Ru 0.500 0.500 0.783
```

=====

(2)
The following is a DFT calculation (GGA-PBE) of a relaxed BaTiSb2Au crystal.

Properties
Magnetic moment ... 0.2 μB per cell
E above lowest polymorph ... 0 meV/atom
Uncorrected formation energy ... -0.50 eV per atom

Cell and atoms, written as CIF:
```
data_BaTiSb2Au
_chemical_formula_sum 'Ba1 Ti1 Sb2 Au1'
_cell_length_a 5.294
_cell_length_b 5.294
_cell_length_c 5.337
_cell_angle_alpha 90.00
_cell_angle_beta 90.00
_cell_angle_gamma 90.00
_space_group_name_H-M_alt 'P 1'
_space_group_IT_number 1
_space_group_name_Hall 'P 1'
loop_
_atom_site_label
_atom_site_type_symbol
_atom_site_fract_x
_atom_site_fract_y
_atom_site_fract_z
Ba1 Ba 0.000 0.000 0.000
Ti1 Ti 0.500 0.500 0.500
Sb1 Sb 0.000 0.500 0.500
Sb2 Sb 0.500 0.000 0.500
Au1 Au 0.500 0.500 0.000
```

=====

(3)
The following is a DFT calculation (GGA-PBE) of a relaxed La4Br2NCl crystal.

Properties
Magnetic moment ... 0.0 μB per cell
Uncorrected formation energy ... -1.39 eV per atom

Cell and atoms, written as CIF:
```
data_La4Br2NCl
_chemical_formula_sum 'La4 Br2 N1 Cl1'
_cell_length_a 7.133
_cell_length_b 3.926
_cell_length_c 7.702
_cell_angle_alpha 90.00
_cell_angle_beta 106.41
_cell_angle_gamma 90.00
_space_group_name_H-M_alt 'P 1'
_space_group_IT_number 1
_space_group_name_Hall 'P 1'
loop_
_atom_site_label
_atom_site_type_symbol
_atom_site_fract_x
_atom_site_fract_y
_atom_site_fract_z
La1 La 0.200 0.000 0.189
La2 La 0.226 0.500 0.798
La3 La 0.774 0.500 0.202
La4 La 0.800 0.000 0.811
Br1 Br 0.000 0.000 0.500
Br2 Br 0.500 0.500 0.500
N1 N 0.000 0.500 0.000
Cl1 Cl 0.500 0.000 0.000
```

=====

(4)
The following is a DFT calculation (GGA-PBE) of a relaxed K2PtBrN crystal.

Properties
Magnetic moment ... 0.4 μB per cell
E above lowest polymorph ... 0 meV/atom
Uncorrected formation energy ... -0.72 eV per atom

Cell and atoms, written as CIF:
```
data_K2PtBrN
_chemical_formula_sum 'K2 Pt1 Br1 N1'
_cell_length_a 5.971
_cell_length_b 5.971
_cell_length_c 3.731
_cell_angle_alpha 90.00
_cell_angle_beta 90.00
_cell_angle_gamma 90.00
_space_group_name_H-M_alt 'P 1'
_space_group_IT_number 1
_space_group_name_Hall 'P 1'
loop_
_atom_site_label
_atom_site_type_symbol
_atom_site_fract_x
_atom_site_fract_y
_atom_site_fract_z
K1 K 0.000 0.500 0.000
K2 K 0.500 0.000 0.000
Pt1 Pt 0.000 0.000 0.500
Br1 Br 0.500 0.500 0.500
N1 N 0.000 0.000 0.000
```

=====

(5)
The following is a DFT calculation (GGA-PBE) of a relaxed Sr2TlHBr crystal.

Properties
Magnetic moment ... 0.0 μB per cell
E_tot ... -2.63 eV per atom

Cell and atoms, written as CIF:
```
data_Sr2TlHBr
_chemical_formula_sum 'Sr2 Tl1 H1 Br1'
_cell_length_a 5.059
_cell_length_b 5.059
_cell_length_c 5.570
_cell_angle_alpha 90.00
_cell_angle_beta 90.00
_cell_angle_gamma 90.00
_space_group_name_H-M_alt 'P 1'
_space_group_IT_number 1
_space_group_name_Hall 'P 1'
loop_
_atom_site_label
_atom_site_type_symbol
_atom_site_fract_x
_atom_site_fract_y
_atom_site_fract_z
Sr1 Sr 0.000 0.500 0.000
Sr2 Sr 0.500 0.000 0.000
Tl1 Tl 0.000 0.000 0.500
H1 H 0.500 0.500 0.000
Br1 Br 0.500 0.500 0.500
```

=====

(6)
The following is a DFT calculation (GGA-PBE) of a relaxed PrTmGe crystal.

Properties
ΔE_f ... -437 meV per atom
Magnetic moment ... 0.0 μB per cell

Cell and atoms, written as CIF:
```
data_PrTmGe
_chemical_formula_sum 'Pr1 Tm1 Ge1'
_cell_length_a 4.770
_cell_length_b 4.770
_cell_length_c 4.282
_cell_angle_alpha 90.00
_cell_angle_beta 90.00
_cell_angle_gamma 120.00
_space_group_name_H-M_alt 'P 1'
_space_group_IT_number 1
_space_group_name_Hall 'P 1'
loop_
_atom_site_label
_atom_site_type_symbol
_atom_site_fract_x
_atom_site_fract_y
_atom_site_fract_z
Pr1 Pr 0.000 0.000 0.000
Tm1 Tm 0.333 0.667 0.516
Ge1 Ge 0.667 0.333 0.423
```

=====

(7)
The following is a DFT calculation (GGA-PBE) of a relaxed ZrUPa6 crystal.

Properties
ΔE_f ... 101 meV per atom
Magnetic moment ... 1.2 μB per cell

Cell and atoms, written as CIF:
```
data_ZrUPa6
_chemical_formula_sum 'Zr1 U1 Pa6'
_cell_length_a 6.596
_cell_length_b 6.596
_cell_length_c 4.513
_cell_angle_alpha 90.00
_cell_angle_beta 90.00
_cell_angle_gamma 90.00
_space_group_name_H-M_alt 'P 1'
_space_group_IT_number 1
_space_group_name_Hall 'P 1'
loop_
_atom_site_label
_atom_site_type_symbol
_atom_site_fract_x
_atom_site_fract_y
_atom_site_fract_z
Zr1 Zr 0.000 0.000 0.000
U1 U 0.500 0.500 0.000
Pa1 Pa 0.000 0.500 0.000
Pa2 Pa 0.249 0.249 0.500
Pa3 Pa 0.249 0.751 0.500
Pa4 Pa 0.500 0.000 0.000
Pa5 Pa 0.751 0.249 0.500
Pa6 Pa 0.751 0.751 0.500
```

=====

(8)
The following is a DFT calculation (GGA-PBE) of a relaxed TlHg2F6 crystal.

Properties
Magnetic moment ... 0.0 μB per cell
E above lowest polymorph ... 0 meV/atom
Uncorrected formation energy ... -1.54 eV per atom

Cell and atoms, written as CIF:
```
data_TlHg2F6
_chemical_formula_sum 'Tl2 Hg4 F12'
_cell_length_a 5.378
_cell_length_b 5.378
_cell_length_c 11.196
_cell_angle_alpha 90.00
_cell_angle_beta 90.00
_cell_angle_gamma 90.00
_space_group_name_H-M_alt 'P 1'
_space_group_IT_number 1
_space_group_name_Hall 'P 1'
loop_
_atom_site_label
_atom_site_type_symbol
_atom_site_fract_x
_atom_site_fract_y
_atom_site_fract_z
Tl1 Tl 0.000 0.000 0.000
Tl2 Tl 0.500 0.500 0.500
Hg1 Hg 0.000 0.000 0.333
Hg2 Hg 0.000 0.000 0.667
Hg3 Hg 0.500 0.500 0.167
Hg4 Hg 0.500 0.500 0.833
F1 F 0.193 0.193 0.164
F2 F 0.193 0.193 0.836
F3 F 0.196 0.196 0.500
F4 F 0.304 0.696 0.000
F5 F 0.307 0.693 0.336
F6 F 0.307 0.693 0.664
F7 F 0.693 0.307 0.336
F8 F 0.693 0.307 0.664
F9 F 0.696 0.304 0.000
F10 F 0.804 0.804 0.500
F11 F 0.807 0.807 0.164
F12 F 0.807 0.807 0.836
```

=====

(9)
The following is a DFT calculation (GGA-PBE) of a relaxed CaPmIrPd crystal.

Properties
ΔE_f ... -594 meV per atom
Magnetic moment ... 0.0 μB per cell
E above lowest polymorph ... 23 meV/atom

Cell and atoms, written as CIF:
```
data_CaPmIrPd
_chemical_formula_sum 'Ca1 Pm1 Ir1 Pd1'
_cell_length_a 3.482
_cell_length_b 3.482
_cell_length_c 7.217
_cell_angle_alpha 90.00
_cell_angle_beta 90.00
_cell_angle_gamma 90.00
_space_group_name_H-M_alt 'P 1'
_space_group_IT_number 1
_space_group_name_Hall 'P 1'
loop_
_atom_site_label
_atom_site_type_symbol
_atom_site_fract_x
_atom_site_fract_y
_atom_site_fract_z
Ca1 Ca 0.000 0.000 0.000
Pm1 Pm 0.000 0.000 0.484
Ir1 Ir 0.500 0.500 0.255
Pd1 Pd 0.500 0.500 0.738
```

=====

(10)
The following is a DFT calculation (GGA-PBE) of a relaxed TbGa6Ir crystal.

Properties
ΔE_f ... -198 meV per atom
Magnetic moment ... 0.0 μB per cell

Cell and atoms, written as CIF:
```
data_TbGa6Ir
_chemical_formula_sum 'Tb1 Ga6 Ir1'
_cell_length_a 6.886
_cell_length_b 6.886
_cell_length_c 6.886
_cell_angle_alpha 49.50
_cell_angle_beta 49.50
_cell_angle_gamma 49.50
_space_group_name_H-M_alt 'P 1'
_space_group_IT_number 1
_space_group_name_Hall 'P 1'
loop_
_atom_site_label
_atom_site_type_symbol
_atom_site_fract_x
_atom_site_fract_y
_atom_site_fract_z
Tb1 Tb 0.000 0.000 0.000
Ga1 Ga 0.049 0.585 0.585
Ga2 Ga 0.415 0.415 0.951
Ga3 Ga 0.415 0.951 0.415
Ga4 Ga 0.585 0.049 0.585
Ga5 Ga 0.585 0.585 0.049
Ga6 Ga 0.951 0.415 0.415
Ir1 Ir 0.500 0.500 0.500
```

=====

(11)
The following is a DFT calculation (GGA-PBE) of a relaxed IrSeN2 crystal.

Properties
Magnetic moment ... 0.0 μB per cell
Uncorrected formation energy ... 1.18 eV per atom

Cell and atoms, written as CIF:
```
data_IrSeN2
_chemical_formula_sum 'Ir2 Se2 N4'
_cell_length_a 5.501
_cell_length_b 5.501
_cell_length_c 5.501
_cell_angle_alpha 120.48
_cell_angle_beta 120.48
_cell_angle_gamma 89.17
_space_group_name_H-M_alt 'P 1'
_space_group_IT_number 1
_space_group_name_Hall 'P 1'
loop_
_atom_site_label
_atom_site_type_symbol
_atom_site_fract_x
_atom_site_fract_y
_atom_site_fract_z
Ir1 Ir 0.000 0.000 0.000
Ir2 Ir 0.750 0.250 0.500
Se1 Se 0.250 0.750 0.500
Se2 Se 0.500 0.500 0.000
N1 N 0.052 0.625 0.927
N2 N 0.375 0.302 0.427
N3 N 0.698 0.125 0.073
N4 N 0.875 0.948 0.573
```

=====

(12)
The following is a DFT calculation (GGA-PBE) of a relaxed SrCu2Pb crystal.

Properties
ΔE_f ... 32 meV per atom
Magnetic moment ... 0.0 μB per cell

Cell and atoms, written as CIF:
```
data_SrCu2Pb
_chemical_formula_sum 'Sr1 Cu2 Pb1'
_cell_length_a 3.977
_cell_length_b 4.447
_cell_length_c 5.752
_cell_angle_alpha 90.00
_cell_angle_beta 90.00
_cell_angle_gamma 90.00
_space_group_name_H-M_alt 'P 1'
_space_group_IT_number 1
_space_group_name_Hall 'P 1'
loop_
_atom_site_label
_atom_site_type_symbol
_atom_site_fract_x
_atom_site_fract_y
_atom_site_fract_z
Sr1 Sr 0.000 0.000 0.000
Cu1 Cu 0.500 0.500 0.218
Cu2 Cu 0.500 0.500 0.782
Pb1 Pb 0.500 0.000 0.500
```

=====

(13)
The following is a DFT calculation (GGA-PBE) of a relaxed ErMg6Sc5 crystal.

Properties
ΔE_f ... -41 meV per atom
Magnetic moment ... 0.0 μB per cell

Cell and atoms, written as CIF:
```
data_ErMg6Sc5
_chemical_formula_sum 'Er1 Mg6 Sc5'
_cell_length_a 8.874
_cell_length_b 8.874
_cell_length_c 5.126
_cell_angle_alpha 106.76
_cell_angle_beta 106.76
_cell_angle_gamma 120.01
_space_group_name_H-M_alt 'P 1'
_space_group_IT_number 1
_space_group_name_Hall 'P 1'
loop_
_atom_site_label
_atom_site_type_symbol
_atom_site_fract_x
_atom_site_fract_y
_atom_site_fract_z
Er1 Er 0.000 0.000 0.000
Mg1 Mg 0.085 0.425 0.255
Mg2 Mg 0.260 0.260 0.760
Mg3 Mg 0.425 0.085 0.255
Mg4 Mg 0.575 0.915 0.745
Mg5 Mg 0.740 0.740 0.240
Mg6 Mg 0.915 0.575 0.745
Sc1 Sc 0.164 0.836 0.500
Sc2 Sc 0.333 0.667 0.000
Sc3 Sc 0.500 0.500 0.500
Sc4 Sc 0.667 0.333 0.000
Sc5 Sc 0.836 0.164 0.500
```